A plane-wave DFT calculation with PBE was carried out for a geometry-optimized Dy4Cu2Ir structure.

a b c (Å): 4.8753 4.8753 8.3944
angles (deg): 73.12 73.12 60.00
Positions (direct):
Ir 0.0000 0.0000 0.0000
Cu 0.7515 0.7515 0.7455
Cu 0.2485 0.2485 0.2545
Dy 0.8767 0.8767 0.3700
Dy 0.1233 0.1233 0.6300
Dy 0.6256 0.6256 0.1233
Dy 0.3744 0.3744 0.8767

Summary:
space group	No. 166
energy relative to the elements	-0.344	eV per atom

A plane-wave DFT calculation with PBE was carried out for a geometry-optimized TbGd2Rh structure.

a b c (Å): 3.5416 3.5416 8.5785
angles (deg): 90.00 90.00 90.00
Site moments in Bohr magnetons follow the coordinates.
Positions (direct):
Rh 0.5000 0.5000 0.0000  0.02
Gd 0.0000 0.0000 0.8095  -7.06
Gd 0.0000 0.0000 0.1905  -7.06
Tb 0.5000 0.5000 0.5000  -0.17

Summary:
space group	No. 123
energy relative to the elements	-0.364	eV per atom

A plane-wave DFT calculation with PBE was carried out for a geometry-optimized Na2BiHPb structure.

a b c (Å): 4.8561 4.8561 4.9826
angles (deg): 90.00 90.00 90.00
Positions (direct):
Pb 0.0000 0.0000 0.5000
Na 0.0000 0.5000 0.0000
Na 0.5000 0.0000 0.0000
Bi 0.5000 0.5000 0.5000
H 0.0000 0.0000 0.0000

Summary:
space group	No. 123
final energy	-2.89	eV per atom

A plane-wave DFT calculation with PBE was carried out for a geometry-optimized CaPrSi4 structure.

a b c (Å): 5.4500 5.4500 5.4500
angles (deg): 60.00 60.00 60.00
Positions (direct):
Pr 0.2500 0.2500 0.2500
Ca 0.0000 0.0000 0.0000
Si 0.6284 0.6284 0.1149
Si 0.6284 0.1149 0.6284
Si 0.6284 0.6284 0.6284
Si 0.1149 0.6284 0.6284

Summary:
uncorrected formation energy	-0.255	eV per atom
space group	No. 216

A plane-wave DFT calculation with PBE was carried out for a geometry-optimized Tm6Th4Sc structure.

a b c (Å): 7.5274 7.5274 8.5443
angles (deg): 116.14 116.14 90.00
Positions (direct):
Tm 0.8920 0.4492 0.3412
Tm 0.4492 0.8920 0.3412
Tm 0.5508 0.5508 0.6588
Tm 0.0000 0.5000 0.0000
Tm 0.1080 0.1080 0.6588
Tm 0.5000 0.0000 0.0000
Th 0.0923 0.7487 0.8410
Th 0.9077 0.9077 0.1590
Th 0.7487 0.0923 0.8410
Th 0.2513 0.2513 0.1590
Sc 0.5000 0.5000 0.0000

Summary:
space group	No. 121
energy relative to the elements	0.554	eV per atom

A plane-wave DFT calculation with PBE was carried out for a geometry-optimized LiPm2C structure.

a b c (Å): 3.6038 3.6038 9.9579
angles (deg): 79.57 79.57 60.00
Positions (direct):
Li 0.0000 0.0000 0.0000
Pm 0.1185 0.1185 0.6444
Pm 0.8815 0.8815 0.3556
C 0.5000 0.5000 0.5000

Summary:
space group	No. 166
energy relative to the elements	-0.010	eV per atom

A plane-wave DFT calculation with PBE was carried out for a geometry-optimized CePuTc2 structure.

a b c (Å): 4.8214 4.8214 4.8214
angles (deg): 60.00 60.00 60.00
Site moments in Bohr magnetons follow the coordinates.
Positions (direct):
Tc 0.2500 0.2500 0.2500  -0.50
Tc 0.7500 0.7500 0.7500  -0.50
Ce 0.5000 0.5000 0.5000  0.03
Pu 0.0000 0.0000 0.0000  4.74

Summary:
space group	No. 225
energy relative to the elements	0.053	eV per atom

A plane-wave DFT calculation with PBE was carried out for a geometry-optimized Np2BeSi3 structure.

a b c (Å): 5.5945 5.5945 7.8721
angles (deg): 111.26 111.26 88.84
Site moments in Bohr magnetons follow the coordinates.
Positions (direct):
Np 0.2500 0.7500 0.5000  3.66
Np 0.7555 0.7555 0.0000  3.67
Np 0.7500 0.2500 0.5000  3.66
Np 0.2445 0.2445 0.0000  3.67
Be 0.3334 0.3334 0.6668  0.01
Be 0.6666 0.6666 0.3332  0.01
Si 0.6523 0.1753 0.8275  -0.03
Si 0.8247 0.3477 0.1725  -0.03
Si 0.3477 0.8247 0.1725  -0.03
Si 0.1753 0.6523 0.8275  -0.03
Si 0.8273 0.8273 0.6546  -0.02
Si 0.1727 0.1727 0.3454  -0.02

Summary:
uncorrected formation energy	-0.254	eV per atom
space group	No. 69